# Cu4O3F, relaxed, DFT GGA-PBE
# Spin magnetization in μB per atom: 0.31
# D(E_F) in states/eV/f.u.: 5.14
# Raw total energy in eV per atom: -4.73
# ΔE_f (raw) in eV/atom: -0.591
data_Cu4O3F
_cell_length_a 5.105
_cell_length_b 5.122
_cell_length_c 5.246
_cell_angle_alpha 62.62
_cell_angle_beta 63.09
_cell_angle_gamma 65.39
_symmetry_space_group_name_H-M 'P 1'
_symmetry_Int_Tables_number 1
_symmetry_space_group_name_Hall 'P 1'
loop_
_atom_site_label
_atom_site_fract_x
_atom_site_fract_y
_atom_site_fract_z
Cu1 0.000 0.000 0.000
Cu2 0.034 0.546 0.732
Cu3 0.484 0.522 0.997
Cu4 0.837 0.352 0.504
O1 0.095 0.608 0.330
O2 0.243 0.767 0.743
O3 0.818 0.333 0.145
F1 0.574 0.097 0.806